The following is a DFT calculation (PBE+U) of a relaxed structure of DyV2InO8.

Properties
* total DFT energy (no corrections): -7.355 eV per atom
* density: 5.3 Mg/m³

Cell: 5.9351 5.9351 5.9351 Å, 106.73 106.73 115.10°
Atoms (fractional coordinates):
1 Dy 0.0000 0.0000 0.0000
2 V 0.5000 0.5000 0.0000
3 V 0.7500 0.2500 0.5000
4 In 0.2500 0.7500 0.5000
5 O 0.3253 0.1352 0.8099
6 O 0.3253 0.5154 0.1901
7 O 0.3872 0.0752 0.3120
8 O 0.4846 0.6747 0.8099
9 O 0.7631 0.0752 0.6880
10 O 0.8648 0.6747 0.1901
11 O 0.9248 0.2369 0.3120
12 O 0.9248 0.6128 0.6880


The following is a DFT calculation (PBE+U) of a relaxed structure of DyIn2WO8.

Properties
* total DFT energy (no corrections): -6.735 eV per atom
* density: 7.2 Mg/m³

Cell: 4.9314 4.9314 6.6925 Å, 90.00 90.00 90.82°
Atoms (fractional coordinates):
1 Dy 0.0000 0.0000 0.0000
2 In 0.5000 0.5000 0.2569
3 In 0.5000 0.5000 0.7431
4 W 0.0000 0.0000 0.5000
5 O 0.1862 0.8138 0.2852
6 O 0.1862 0.8138 0.7148
7 O 0.2862 0.2862 0.5000
8 O 0.3143 0.3143 0.0000
9 O 0.6857 0.6857 0.0000
10 O 0.7138 0.7138 0.5000
11 O 0.8138 0.1862 0.2852
12 O 0.8138 0.1862 0.7148


Listing Fermi-level density of states for the structures above in their given order: 0.00 4.85 states/eV/cell.